Below is a relaxed Sc4MnZn crystal, with properties calculated at the GGA-PBE level.

Unit cell a=8.0778 b=8.0778 c=8.0778 alpha=90.00 beta=90.00 gamma=90.00
Last column: nearest neighbours and their distance in Å.
Space group F-43m (No. 216)
Inequivalent atoms, fractional coordinates:
Sc: 0.1244 0.1244 0.3756 [16 per cell]  6 Sc 2.84-2.87
Mn: 0.2500 0.2500 0.7500 [4 per cell]  12 Sc 3.35, 4 Zn 3.50
Zn: 0.0000 0.0000 0.0000 [4 per cell]  12 Sc 3.35, 4 Mn 3.50

Results
The calculation puts the formation energy from the elements at 10.9 kcal/mol of atoms. The value obtained for the magnetic moment is 0.63 μB per atom. The calculation puts the calculated total energy at -5.49 eV/atom. The density comes out at 3.78 g/cm3.